## A
# K2YBr

K2YBr after structural relaxation (GGA-PBE, Alexandria via LeMat-Bulk).

Lattice parameters (Å, degrees): 3.9724 6.3668 6.5089 90.00 90.00 90.00
Each line ends with the local moment (μB).
Fractional coordinates of all 4 atoms:
1 Br 0.0000 0.5000 0.5000  0.01
2 K 0.0000 0.0000 0.0000  0.01
3 K 0.5000 0.5000 0.0000  0.01
4 Y 0.5000 0.0000 0.5000  0.20

=====

## B
# K2YBr

K2YBr after structural relaxation (GGA-PBE, Alexandria via LeMat-Bulk).

Lattice parameters (Å, degrees): 7.6184 7.6184 7.6184 142.87 142.87 53.53
Fractional coordinates of all 4 atoms:
1 Y 0.2500 0.7500 0.5000
2 K 0.5000 0.5000 0.0000
3 K 0.0000 0.0000 0.0000
4 Br 0.7500 0.2500 0.5000

=====

Stability, lowest: B

=====

## A
# KY2Br

KY2Br after structural relaxation (GGA-PBE, Alexandria via LeMat-Bulk).

Lattice parameters (Å, degrees): 3.6456 3.6456 10.3627 90.00 90.00 90.00
Each line ends with the local moment (μB).
Fractional coordinates of all 4 atoms:
1 K 0.5000 0.5000 0.7040  0.01
2 Br 0.0000 0.0000 0.4791  0.00
3 Y 0.5000 0.5000 0.2739  0.15
4 Y 0.0000 0.0000 0.0430  0.24

=====

## B
# KY2Br

KY2Br after structural relaxation (GGA-PBE, Alexandria via LeMat-Bulk).

Lattice parameters (Å, degrees): 3.6837 3.6837 11.9151 90.00 90.00 119.85
Fractional coordinates of all 4 atoms:
1 Y 0.0000 0.0000 0.4516
2 Y 0.0000 0.0000 0.0484
3 Br 0.5000 0.5000 0.2500
4 K 0.5000 0.5000 0.7500

=====

## C
# KY2Br

KY2Br after structural relaxation (GGA-PBE, Alexandria via LeMat-Bulk).

Lattice parameters (Å, degrees): 6.4494 6.4494 7.5036 72.53 72.53 32.15
Each line ends with the local moment (μB).
Fractional coordinates of all 4 atoms:
1 K 0.2125 0.2125 0.2934  0.00
2 Br 0.4718 0.4718 0.5602  0.00
3 Y 0.0353 0.0353 0.8680  0.14
4 Y 0.7804 0.7804 0.7783  0.12

=====

## D
# KY2Br

KY2Br after structural relaxation (GGA-PBE, Alexandria via LeMat-Bulk).

Lattice parameters (Å, degrees): 5.7278 5.7278 5.7278 60.00 60.00 60.00
Fractional coordinates of all 4 atoms:
1 K 0.0000 0.0000 0.0000
2 Y 0.7500 0.7500 0.7500
3 Y 0.2500 0.2500 0.2500
4 Br 0.5000 0.5000 0.5000

=====

Stability, lowest: D